Material: FeINO2
Method: DFT, PBE+U
State: relaxed

Unit cell a=3.818 b=3.818 c=4.238 alpha=90.00 beta=90.00 gamma=90.00
Space group P4/mmm (No. 123)
Unique sites:
1 Fe 0.000 0.000 0.000 [1 per cell]
2 I 0.500 0.500 0.500 [1 per cell]
3 N 0.000 0.000 0.500 [1 per cell]
4 O 0.000 0.500 0.000 [2 per cell]

Calculated values
- DOS(E_F): 2.13 states/eV/f.u.
- DFT total energy: -23.23 eV/cell
- Total moment: 4.2 μB/f.u.